Entry 1:
Ta2MnCr | the Alexandria database | meta-GGA SCAN | single point on PBEsol structure; ΔE_f = 97 meV/atom; spin magnetization = 0.000 μB per formula unit
1.0
3.0985 0.0000 0.0000
0.0000 4.0820 0.0000
0.0000 0.0000 4.5249
Ta Mn Cr
2 1 1
Direct
0.0000 0.0000 0.0000
0.5000 0.0000 0.5000
0.0000 0.5000 0.5000
0.5000 0.5000 0.0000

---

Entry 2:
CaMg3Cu | the Alexandria database | meta-GGA SCAN | single point on PBEsol structure; ΔE_f = -39 meV/atom; energy above the most stable polymorph in this dataset = 5 meV/atom; spin magnetization = 0.077 μB per formula unit
1.0
-2.1146 2.1146 6.5235
2.1146 -2.1146 6.5235
2.1146 2.1146 -6.5235
Ca Mg Cu
1 3 1
Direct
0.0000 0.0000 0.0000
0.2103 0.7103 0.5000
0.3814 0.3814 0.0000
0.7103 0.2103 0.5000
0.5808 0.5808 0.0000

---

Entry 3:
TiInPt2 | the Alexandria database | meta-GGA SCAN | single point on PBEsol structure; ΔE_f = -827 meV/atom; spin magnetization = 0.000 μB per formula unit
1.0
3.2282 0.0000 0.0000
0.0000 3.2282 0.0000
0.0000 0.0000 6.3678
Ti In Pt
1 1 2
Direct
0.0000 0.0000 0.0000
0.0000 0.0000 0.5000
0.5000 0.5000 0.2173
0.5000 0.5000 0.7827

---

no.,density (Mg/m³)
1,13.60
2,2.51
3,13.83